1.
VASP calculation (PBE-GGA) on an optimized crystal structure of RbSrB6C6.

Lattice parameters (Å, degrees): 4.9184 4.9184 4.9184 90.00 90.00 90.00
Closest atoms and distances in Å follow each position.
Fractional positions:
Rb: 0.0000 0.0000 0.0000  12 B 2.75, 12 C 2.76
Sr: 0.5000 0.5000 0.5000  12 C 2.74, 12 B 2.75
B: 0.0000 0.2492 0.5000  4 C 1.73-1.75
B: 0.0000 0.7508 0.5000  4 C 1.73-1.75
B: 0.2492 0.5000 0.0000  4 C 1.73-1.75
B: 0.5000 0.0000 0.2492  4 C 1.73-1.75
B: 0.5000 0.0000 0.7508  4 C 1.73-1.75
B: 0.7508 0.5000 0.0000  4 C 1.73-1.75
C: 0.0000 0.5000 0.2546  4 B 1.73-1.75
C: 0.0000 0.5000 0.7454  4 B 1.73-1.75
C: 0.2546 0.0000 0.5000  4 B 1.73-1.75
C: 0.5000 0.2546 0.0000  4 B 1.73-1.75
C: 0.5000 0.7454 0.0000  4 B 1.73-1.75
C: 0.7454 0.0000 0.5000  4 B 1.73-1.75

## Properties
**Uncorrected energy**: -6.602 eV per atom
**Calculated volume**: 8.5 A^3/atom
**Energy relative to the elements**: 0.4017 eV/atom
**Total moment**: 0.0 μB/cell



2.
VASP calculation (PBE-GGA) on an optimized crystal structure of RbZn2BC.

Lattice parameters (Å, degrees): 7.4816 7.4816 5.6949 90.00 90.00 90.00
Closest atoms and distances in Å follow each position.
Fractional positions:
Rb: 0.0000 0.0000 0.0000  2 C 2.85
Zn: 0.0000 0.5000 0.0000  2 Rb 3.74
Zn: 0.5000 0.0000 0.0000  2 Rb 3.74
B: 0.5000 0.5000 0.5000  8 Zn 4.70
C: 0.0000 0.0000 0.5000  2 Rb 2.85

## Properties
**Uncorrected energy**: -1.149 eV per atom
**Calculated volume**: 63.8 A^3/atom
**Energy relative to the elements**: 2.7346 eV/atom
**Total moment**: 4.0 μB/cell



3.
VASP calculation (PBE-GGA) on an optimized crystal structure of Re2BC.

Lattice parameters (Å, degrees): 3.8634 3.8634 3.8634 60.00 60.00 60.00
Closest atoms and distances in Å follow each position.
Fractional positions:
Re: 0.2500 0.2500 0.2500  4 C 2.37, 4 B 2.37
Re: 0.7500 0.7500 0.7500  4 C 2.37, 4 B 2.37
B: 0.0000 0.0000 0.0000  8 Re 2.37
C: 0.5000 0.5000 0.5000  8 Re 2.37

## Properties
**Uncorrected energy**: -9.453 eV per atom
**Calculated volume**: 10.2 A^3/atom
**Energy relative to the lowest polymorph listed for this composition**: 0 meV per atom
**Energy relative to the elements**: 0.7460 eV/atom
**Total moment**: 0.0 μB/cell